P.
Here is HfCoHIr2 after structural relaxation from Alexandria. Energies are from PBE.

Computed properties:
Density of states at the Fermi level (states/eV per cell): 1.54
Theoretical density (Mg/m³): 16.96

Geometry as POSCAR:
```
HfCoHIr2
1.0
3.9756 0.0000 0.0000
0.0000 3.9756 0.0000
0.0000 0.0000 3.8593
Hf Co H Ir
1 1 1 2
direct
0.0000 0.0000 0.0000
0.5000 0.5000 0.0000
0.5000 0.5000 0.5000
0.0000 0.5000 0.5000
0.5000 0.0000 0.5000
```

Q.
Here is HfCoHIr2 after structural relaxation from Alexandria. Energies are from PBE.

Computed properties:
Density of states at the Fermi level (states/eV per cell): 2.67
Theoretical density (Mg/m³): 16.77

Geometry as POSCAR:
```
HfCoHIr2
1.0
3.8979 0.0000 0.0000
0.0000 3.8979 0.0000
0.0000 0.0000 4.0593
Hf Co H Ir
1 1 1 2
direct
0.0000 0.0000 0.0000
0.5000 0.5000 0.0000
0.0000 0.0000 0.5000
0.0000 0.5000 0.5000
0.5000 0.0000 0.5000
```

Preferred: P; penalty for the next structure: 0.120 eV/atom.